Below is an optimized crystal structure of K4Tb3CoO8, with properties calculated at the PBE with a Hubbard U level.

Output
* E: -6.216 eV per atom

The structure in CIF format:
```
data_K4Tb3CoO8
_cell_length_a 11.726
_cell_length_b 6.926
_cell_length_c 7.379
_cell_angle_alpha 90.00
_cell_angle_beta 122.23
_cell_angle_gamma 90.00
_space_group_name_H-M_alt 'C 1 2/m 1'
_space_group_IT_number 12
_space_group_name_Hall '-C 2y'
loop_
_atom_site_label
_atom_site_fract_x
_atom_site_fract_y
_atom_site_fract_z
K1 0.000 0.000 0.000
K2 0.000 0.500 0.000
K3 0.250 0.250 0.000
Tb1 0.000 0.000 0.500
Tb2 0.250 0.250 0.500
Co1 0.000 0.500 0.500
O1 0.019 0.247 0.306
O2 0.199 0.500 0.665
O3 0.232 0.000 0.688
```